A relaxed Ca2BiAu2 crystal, computed with GGA-PBE.

- SG: No. 127
- E above lowest polymorph: 16 meV per atom
- Magnetization: 0.0 μB/cell
- E_form: -0.7614 eV/atom

a = 8.222 Å, b = 8.222 Å, c = 3.814 Å
α = 90.00°, β = 90.00°, γ = 90.00°
Element x y z (fractional)
Ca (0.174, 0.326, 0.000)
Ca (0.326, 0.826, 0.000)
Ca (0.674, 0.174, 0.000)
Ca (0.826, 0.674, 0.000)
Bi (0.000, 0.000, 0.500)
Bi (0.500, 0.500, 0.500)
Au (0.122, 0.622, 0.500)
Au (0.378, 0.122, 0.500)
Au (0.622, 0.878, 0.500)
Au (0.878, 0.378, 0.500)


A relaxed YSc3Br crystal, computed with GGA-PBE.

- SG: No. 221
- E_form (uncorrected): -0.133 eV/atom
- E above lowest polymorph: 0 meV per atom
- Magnetization: 0.0 μB/cell

a = 5.107 Å, b = 5.107 Å, c = 5.107 Å
α = 90.00°, β = 90.00°, γ = 90.00°
Element x y z (fractional)
Y (0.000, 0.000, 0.000)
Sc (0.000, 0.500, 0.500)
Sc (0.500, 0.000, 0.500)
Sc (0.500, 0.500, 0.000)
Br (0.500, 0.500, 0.500)


A relaxed Cd3SnBr crystal, computed with GGA-PBE.

- SG: No. 221
- E_form (uncorrected): 0.491 eV/atom
- E above lowest polymorph: 517 meV per atom
- Magnetization: 0.0 μB/cell

a = 5.576 Å, b = 5.576 Å, c = 5.576 Å
α = 90.00°, β = 90.00°, γ = 90.00°
Element x y z (fractional)
Cd (0.000, 0.000, 0.500)
Cd (0.000, 0.500, 0.000)
Cd (0.500, 0.000, 0.000)
Sn (0.500, 0.500, 0.500)
Br (0.000, 0.000, 0.000)


A relaxed PrNd2Se3 crystal, computed with GGA-PBE.

- SG: No. 194
- E_form (uncorrected): -1.833 eV/atom
- E above lowest polymorph: 6 meV per atom
- Magnetization: 0.0 μB/cell

a = 4.198 Å, b = 4.198 Å, c = 21.261 Å
α = 90.00°, β = 90.00°, γ = 120.00°
Element x y z (fractional)
Pr (0.000, 0.000, 0.250)
Pr (0.000, 0.000, 0.750)
Nd (0.333, 0.667, 0.082)
Nd (0.333, 0.667, 0.418)
Nd (0.667, 0.333, 0.582)
Nd (0.667, 0.333, 0.918)
Se (0.000, 0.000, 0.000)
Se (0.000, 0.000, 0.500)
Se (0.333, 0.667, 0.664)
Se (0.333, 0.667, 0.836)
Se (0.667, 0.333, 0.164)
Se (0.667, 0.333, 0.336)


A relaxed KTa3Cd crystal, computed with GGA-PBE.

- SG: No. 221
- E above lowest polymorph: 0 meV per atom
- Magnetization: 2.0 μB/cell
- E_form: 2.4007 eV/atom

a = 5.176 Å, b = 5.176 Å, c = 5.176 Å
α = 90.00°, β = 90.00°, γ = 90.00°
Element x y z (fractional)
K (0.000, 0.000, 0.000)
Ta (0.000, 0.500, 0.500)
Ta (0.500, 0.000, 0.500)
Ta (0.500, 0.500, 0.000)
Cd (0.500, 0.500, 0.500)


A relaxed Ac2Er3Pb4 crystal, computed with GGA-PBE.

- SG: No. 64
- Magnetization: 0.0 μB/cell
- E_form: -0.4959 eV/atom

a = 9.616 Å, b = 9.616 Å, c = 9.131 Å
α = 90.00°, β = 90.00°, γ = 135.68°
Element x y z (fractional)
Ac (0.111, 0.889, 0.912)
Ac (0.389, 0.611, 0.412)
Ac (0.611, 0.389, 0.588)
Ac (0.889, 0.111, 0.088)
Er (0.000, 0.000, 0.500)
Er (0.041, 0.459, 0.750)
Er (0.459, 0.041, 0.250)
Er (0.500, 0.500, 0.000)
Er (0.541, 0.959, 0.750)
Er (0.959, 0.541, 0.250)
Pb (0.187, 0.813, 0.552)
Pb (0.213, 0.287, 0.750)
Pb (0.287, 0.213, 0.250)
Pb (0.313, 0.687, 0.052)
Pb (0.687, 0.313, 0.948)
Pb (0.713, 0.787, 0.750)
Pb (0.787, 0.713, 0.250)
Pb (0.813, 0.187, 0.448)


A relaxed ZrRuPb2Cl crystal, computed with GGA-PBE.

- SG: No. 123
- E_form (uncorrected): 0.652 eV/atom
- Magnetization: 0.0 μB/cell

a = 5.397 Å, b = 5.397 Å, c = 4.520 Å
α = 90.00°, β = 90.00°, γ = 90.00°
Element x y z (fractional)
Zr (0.000, 0.000, 0.000)
Ru (0.500, 0.500, 0.500)
Pb (0.000, 0.500, 0.500)
Pb (0.500, 0.000, 0.500)
Cl (0.500, 0.500, 0.000)


A relaxed Dy5In2Tc crystal, computed with GGA-PBE.

- SG: No. 55
- Magnetization: 0.0 μB/cell
- E_form: -0.2791 eV/atom

a = 6.640 Å, b = 12.652 Å, c = 5.013 Å
α = 90.00°, β = 90.00°, γ = 90.00°
Element x y z (fractional)
Dy (0.000, 0.000, 0.000)
Dy (0.109, 0.284, 0.000)
Dy (0.168, 0.596, 0.500)
Dy (0.332, 0.096, 0.500)
Dy (0.391, 0.784, 0.000)
Dy (0.500, 0.500, 0.000)
Dy (0.609, 0.216, 0.000)
Dy (0.668, 0.904, 0.500)
Dy (0.832, 0.404, 0.500)
Dy (0.891, 0.716, 0.000)
In (0.136, 0.851, 0.500)
In (0.364, 0.351, 0.500)
In (0.636, 0.649, 0.500)
In (0.864, 0.149, 0.500)
Tc (0.000, 0.500, 0.000)
Tc (0.500, 0.000, 0.000)


Number 1: VASP energy -36.492 eV for the cell shown. Number 2: VASP energy -27.797 eV for the cell shown. Number 3: VASP energy -5.966 eV for the cell shown. Number 4: VASP energy -71.537 eV for the cell shown. Number 5: VASP energy -25.567 eV for the cell shown. Number 6: VASP energy -82.403 eV for the cell shown. Number 7: VASP energy -23.828 eV for the cell shown. Number 8: VASP energy -82.173 eV for the cell shown.